[1]
Computed, not measured: a geometry-optimized RbNbTlOs2 structure at the GGA-PBEsol level of DFT.

Computed properties:
ΔE_f = 754 kJ/mol of formula units

Geometry as POSCAR:
```
RbNbTlOs2
1.0
4.802 0.000 0.000
0.000 4.802 0.000
0.000 0.000 5.600
Nb Tl Os Rb
1 1 2 1
Cartesian
0.000 0.000 0.000
0.000 0.000 2.800
0.000 2.401 0.000
2.401 0.000 0.000
2.401 2.401 2.800
```


[2]
Computed, not measured: a geometry-optimized SrSiMo2 structure at the GGA-PBEsol level of DFT.

Computed properties:
energy relative to the elements, uncorrected = 0.503 eV/atom

Geometry as POSCAR:
```
SrSiMo2
1.0
-1.221 2.349 -0.415
0.412 -0.690 -5.112
-4.326 -3.297 2.716
Si Mo Sr
1 2 1
Cartesian
-0.611 1.175 -0.208
-1.928 -1.006 -0.020
-3.207 -0.633 -2.792
0.206 -0.345 -2.556
```


Quick rundown of M_tot, same order as above: 0.00 0.00 μB per formula unit
Quick rundown of electronic total energy, same order as above: -31.10 -29.11 eV per cell